! AcMnAs, relaxed, DFT PBE-GGA; values from VASP
&SYSTEM
  ibrav = 0, nat = 12, ntyp = 3
/
ATOMIC_SPECIES
Mn 54.94 Mn.upf
Ac 227.00 Ac.upf
As 74.92 As.upf
CELL_PARAMETERS angstrom
-1.0808 -1.2811 7.3223
3.1840 -5.6016 -3.8613
4.2104 5.6327 -0.5704
ATOMIC_POSITIONS angstrom
Mn 4.9785 -1.8061 2.5962
Ac 3.1631 -4.2939 1.0552
Ac 3.6763 1.3232 2.7006
As 4.9342 -2.4257 -3.2157
As 2.4728 -4.8811 -1.9963
Mn 1.3351 0.5560 0.2944
As -0.3696 -2.0016 5.4572
Ac 1.5711 -1.4931 2.9858
Mn 5.5581 -1.1492 -1.0563
Ac 4.2167 1.9638 -0.9605
As 3.5118 -0.9846 0.5144
Mn 2.8879 -2.2611 -1.6450
! Calculated formation energy (meV/atom): -359



! AcMn2AsN2, relaxed, DFT PBE-GGA; values from VASP
&SYSTEM
  ibrav = 0, nat = 12, ntyp = 4
/
ATOMIC_SPECIES
Mn 54.94 Mn.upf
Ac 227.00 Ac.upf
N 14.01 N.upf
As 74.92 As.upf
CELL_PARAMETERS angstrom
-2.1353 -3.9467 -1.7111
5.1049 -1.4200 -3.0951
0.1687 -2.9450 6.5821
ATOMIC_POSITIONS angstrom
Mn -0.3197 -2.7489 0.0063
Mn 3.4580 -5.5628 1.7696
Ac 0.1137 -5.3137 2.0051
N 0.3147 -4.3658 -0.4322
N 0.1264 -2.2547 1.6731
Mn 0.7459 -0.7793 0.8602
As 2.4062 -4.2548 -3.2980
Ac 3.0246 -2.9979 -0.2293
Mn 2.3924 -7.5324 0.9156
As 0.7322 -4.0569 5.0738
N 3.0120 -6.0570 0.1028
N 2.8236 -3.9459 2.2080
! Raw formation energy (kJ/mol of atoms): -65



Which formula does entry 2 have? AcMn2AsN2